1.
This record from the Alexandria database describes a relaxed PuTl3Br7 crystal. The functional is GGA-PBE.

a b c (Å): 7.7466 7.7466 8.5892
angles (deg): 68.53 68.53 82.89
Closest atoms and distances in Å follow each position.
Element x y z (fractional)
Pu 0.0109 0.0109 0.9711  6 Br 2.77-2.79
Tl 0.7933 0.2265 0.4763  2 Br 3.04-3.38
Tl 0.5101 0.5101 0.9344  2 Br 3.04-3.40
Tl 0.2265 0.7933 0.4763  2 Br 3.04-3.38
Br 0.1763 0.1763 0.1197  1 Pu 2.78
Br 0.6692 0.0635 0.2065  1 Pu 2.77
Br 0.9657 0.3517 0.7295  1 Pu 2.77
Br 0.0635 0.6692 0.2065  1 Pu 2.77
Br 0.5135 0.5135 0.5779  3 Tl 3.04
Br 0.3517 0.9657 0.7295  1 Pu 2.77
Br 0.8444 0.8444 0.8223  1 Pu 2.79

Properties
Its space group is Cm, No. 8. Its total moment is 4.0 Bohr magnetons per cell.



2.
This record from the Alexandria database describes a relaxed PuTlBr4 crystal. The functional is GGA-PBE.

a b c (Å): 4.4160 6.9883 8.4784
angles (deg): 102.84 89.99 108.45
Closest atoms and distances in Å follow each position.
Element x y z (fractional)
Pu 0.0001 0.0000 0.0000  6 Br 2.83-2.93
Tl 0.5000 0.0000 0.5000  6 Br 3.32-3.45
Br 0.8765 0.7536 0.6790  1 Pu 2.83
Br 0.1235 0.2463 0.3210  1 Pu 2.83
Br 0.3805 0.7615 0.0926  2 Pu 2.93
Br 0.6194 0.2384 0.9074  2 Pu 2.93

Properties
Its space group is C2/m, No. 12. The value obtained for the polymorph energy (0 for the lowest one) is 0 meV/atom. Its total moment is 5.0 Bohr magnetons per cell.



What are the calculated total energy values for these records? In order: -4.08; -5.20 eV per atom.